Computed, not measured: an optimized crystal structure of Rb2Sn2P at the GGA-PBE level of DFT.

Calculated values
* distance to the lowest polymorph of the same formula: 201.7 meV/atom
* VASP energy: -3.062 eV per atom
* calculated density: 4265 kg/m3
* energy of formation: 0.01 eV/atom
* symmetry: P4/mbm (127)
* total magnetization: 0.000 μB per cell
* DOS(E_F): 2.9 states/eV/f.u.

abc: 7.4862 7.4862 6.1039
angles: 90.00 90.00 90.00
Last column: nearest neighbours and their distance in Å.
Element x y z (fractional)
Rb1 0.1807 0.3193 0.0000  6 Sn 3.59-3.90, 5 Rb 3.83-3.88
Rb2 0.3193 0.8193 0.0000  6 Sn 3.59-3.90, 5 Rb 3.83-3.88
Rb3 0.6807 0.1807 0.0000  6 Sn 3.59-3.90, 5 Rb 3.83-3.88
Rb4 0.8193 0.6807 0.0000  6 Sn 3.59-3.90, 5 Rb 3.83-3.88
Sn1 0.1415 0.6415 0.5000  2 P 2.89, 1 Sn 3.00
Sn2 0.3585 0.1415 0.5000  2 P 2.89, 1 Sn 3.00
Sn3 0.6415 0.8585 0.5000  2 P 2.89, 1 Sn 3.00
Sn4 0.8585 0.3585 0.5000  2 P 2.89, 1 Sn 3.00
P1 0.0000 0.0000 0.5000  4 Sn 2.89
P2 0.5000 0.5000 0.5000  4 Sn 2.89

Computed, not measured: an optimized crystal structure of CeNdGaPd at the GGA-PBE level of DFT.

Calculated values
* VASP energy: -5.255 eV per atom
* calculated density: 7849 kg/m3
* energy of formation: -0.53 eV/atom
* symmetry: F-43m (216)
* total magnetization: 0.657 μB per cell
* DOS(E_F): 8.1 states/eV/f.u.

abc: 5.1648 5.1648 5.1648
angles: 60.00 60.00 60.00
Last column: nearest neighbours and their distance in Å.
Element x y z (fractional)
Ce1 0.0000 0.0000 0.0000  4 Ga 3.16, 4 Pd 3.16
Nd1 0.5000 0.5000 0.5000  4 Ga 3.16, 4 Pd 3.16
Ga1 0.7500 0.7500 0.7500  4 Ce 3.16, 4 Nd 3.16
Pd1 0.2500 0.2500 0.2500  4 Ce 3.16, 4 Nd 3.16

Computed, not measured: an optimized crystal structure of HgSCl2 at the GGA-PBE level of DFT.

Calculated values
* distance to the lowest polymorph of the same formula: 400.4 meV/atom
* VASP energy: -1.900 eV per atom
* calculated density: 5069 kg/m3
* symmetry: R-3m (166)
* total magnetization: 0.000 μB per cell
* DOS(E_F): 2.1 states/eV/f.u.
* formation energy (no corrections): 0.13 eV/atom

abc: 10.6869 10.6869 10.6869
angles: 17.79 17.79 17.79
Last column: nearest neighbours and their distance in Å.
Element x y z (fractional)
Hg1 0.0000 0.0000 0.0000  6 Hg 3.30, 6 Cl 3.63
S1 0.5000 0.5000 0.5000  2 Cl 2.17
Cl1 0.4312 0.4312 0.4312  1 S 2.17
Cl2 0.5688 0.5688 0.5688  1 S 2.17

Computed, not measured: an optimized crystal structure of CaLaTl2 at the GGA-PBE level of DFT.

Calculated values
* VASP energy: -2.988 eV per atom
* calculated density: 7768 kg/m3
* energy of formation: -0.07 eV/atom
* symmetry: F-43m (216)
* total magnetization: 0.000 μB per cell
* DOS(E_F): 4.1 states/eV/f.u.

abc: 5.6219 5.6219 5.6219
angles: 60.00 60.00 60.00
Last column: nearest neighbours and their distance in Å.
Element x y z (fractional)
Ca1 0.0000 0.0000 0.0000  4 Tl 3.44, 4 La 3.44
La1 0.7500 0.7500 0.7500  4 Tl 3.44, 4 Ca 3.44
Tl1 0.2500 0.2500 0.2500  4 Tl 3.44, 4 Ca 3.44
Tl2 0.5000 0.5000 0.5000  4 La 3.44, 4 Tl 3.44

Computed, not measured: an optimized crystal structure of LiSmIn4O8 at the GGA-PBE level of DFT.

Calculated values
* VASP energy: -5.979 eV per atom
* calculated density: 6258 kg/m3
* symmetry: R3m (160)
* total magnetization: 0.000 μB per cell
* formation energy (no corrections): -1.89 eV/atom

abc: 6.4818 6.4818 6.4818
angles: 61.15 61.15 61.15
Last column: nearest neighbours and their distance in Å.
Element x y z (fractional)
Li1 0.0000 0.0000 0.0000  6 O 2.17-2.35
Sm1 0.3761 0.3761 0.3761  4 O 2.20-2.22
In1 0.4919 0.9952 0.9952  6 O 2.17-2.28
In2 0.6125 0.6125 0.6125  4 O 2.12-2.15
In3 0.9952 0.4919 0.9952  6 O 2.17-2.28
In4 0.9952 0.9952 0.4919  6 O 2.17-2.28
O1 0.2186 0.7468 0.7468  3 In 2.12-2.22, 1 Li 2.35
O2 0.2343 0.2343 0.7848  1 Li 2.17, 2 In 2.17, 1 Sm 2.20
O3 0.2343 0.7848 0.2343  1 Li 2.17, 2 In 2.17, 1 Sm 2.20
O4 0.2349 0.2349 0.2349  1 Sm 2.22, 3 In 2.22
O5 0.7468 0.2186 0.7468  3 In 2.12-2.22, 1 Li 2.35
O6 0.7468 0.7468 0.2186  3 In 2.12-2.22, 1 Li 2.35
O7 0.7491 0.7491 0.7491  4 In 2.15-2.28
O8 0.7848 0.2343 0.2343  1 Li 2.17, 2 In 2.17, 1 Sm 2.20

Computed, not measured: an optimized crystal structure of PrNdLuGa at the GGA-PBE level of DFT.

Calculated values
* VASP energy: -4.391 eV per atom
* calculated density: 7811 kg/m3
* energy of formation: -0.12 eV/atom
* symmetry: F-43m (216)
* total magnetization: 0.013 μB per cell
* DOS(E_F): 7.0 states/eV/f.u.

abc: 5.4207 5.4207 5.4207
angles: 60.00 60.00 60.00
Last column: nearest neighbours and their distance in Å.
Element x y z (fractional)
Pr1 0.0000 0.0000 0.0000  4 Lu 3.32, 4 Ga 3.32
Nd1 0.5000 0.5000 0.5000  4 Lu 3.32, 4 Ga 3.32
Lu1 0.7500 0.7500 0.7500  4 Pr 3.32, 4 Nd 3.32
Ga1 0.2500 0.2500 0.2500  4 Pr 3.32, 4 Nd 3.32

Computed, not measured: an optimized crystal structure of Dy6AlIn5 at the GGA-PBE level of DFT.

Calculated values
* VASP energy: -4.202 eV per atom
* calculated density: 8377 kg/m3
* energy of formation: -0.45 eV/atom
* symmetry: Cmmm (65)
* total magnetization: 0.000 μB per cell
* DOS(E_F): 5.3 states/eV/f.u.

abc: 8.3570 8.3570 7.4561
angles: 90.00 90.00 143.13
Last column: nearest neighbours and their distance in Å.
Element x y z (fractional)
Dy1 0.0000 0.0000 0.2446  2 Al 3.21, 6 In 3.23-3.27
Dy2 0.0000 0.0000 0.7554  2 Al 3.21, 6 In 3.23-3.27
Dy3 0.3362 0.6638 0.2474  1 Al 3.19, 7 In 3.21-3.27
Dy4 0.3362 0.6638 0.7526  1 Al 3.19, 7 In 3.21-3.27
Dy5 0.6638 0.3362 0.2474  1 Al 3.19, 7 In 3.21-3.27
Dy6 0.6638 0.3362 0.7526  1 Al 3.19, 7 In 3.21-3.27
Al1 0.5000 0.5000 0.0000  8 Dy 3.19-3.21
In1 0.1680 0.8320 0.0000  8 Dy 3.22-3.24
In2 0.1679 0.8321 0.5000  8 Dy 3.25-3.27
In3 0.5000 0.5000 0.5000  8 Dy 3.21-3.26
In4 0.8320 0.1680 0.0000  8 Dy 3.22-3.24
In5 0.8321 0.1679 0.5000  8 Dy 3.25-3.27

Computed, not measured: an optimized crystal structure of LiAcTe at the GGA-PBE level of DFT.

Calculated values
* distance to the lowest polymorph of the same formula: 346.1 meV/atom
* VASP energy: -3.693 eV per atom
* calculated density: 6369 kg/m3
* symmetry: I4mm (107)
* total magnetization: 0.000 μB per cell
* DOS(E_F): 2.3 states/eV/f.u.
* formation energy (no corrections): -0.64 eV/atom

abc: 5.7111 5.7111 5.7111
angles: 134.18 134.18 66.81
Last column: nearest neighbours and their distance in Å.
Element x y z (fractional)
Li1 0.0000 0.0000 0.0000  1 Te 2.79
Ac1 0.3558 0.3558 0.0000  5 Te 3.35-3.45, 5 Li 3.39-3.43
Te1 0.7070 0.7070 0.0000  1 Li 2.79